Entry 1:
## AcAlH8Rh2 (GGA-PBE)

Data for a geometry-optimized AcAlH8Rh2 structure.

abc: 4.666 4.666 6.266
angles: 68.14 68.14 60.00
Fractional coordinates of all 12 atoms:
Ac (0.500, 0.500, 0.500)
H (0.813, 0.813, 0.560)
H (0.058, 0.625, 0.258)
Al (0.000, 0.000, 0.000)
Rh (0.286, 0.286, 0.142)
H (0.942, 0.942, 0.742)
Rh (0.714, 0.714, 0.858)
H (0.058, 0.058, 0.258)
H (0.942, 0.375, 0.742)
H (0.187, 0.187, 0.440)
H (0.375, 0.942, 0.742)
H (0.625, 0.058, 0.258)

## Properties
**M_tot**: 0.0 μB/f.u.
**Uncorrected energy**: -4.373 eV/atom
**Crystal system**: trigonal

---

Entry 2:
## PrTePb (GGA-PBE)

Data for a geometry-optimized PrTePb structure.

abc: 5.310 5.310 9.021
angles: 72.88 72.88 60.00
Fractional coordinates of all 6 atoms:
Pr (0.582, 0.582, 0.254)
Te (0.713, 0.713, 0.860)
Pr (0.418, 0.418, 0.746)
Te (0.287, 0.287, 0.140)
Pb (0.855, 0.855, 0.434)
Pb (0.145, 0.145, 0.566)

## Properties
**M_tot**: 0.0 μB/f.u.
**Uncorrected energy**: -4.624 eV/atom
**Crystal system**: trigonal

---

Entry 3:
## SiNi2OsI (GGA-PBE)

Data for a geometry-optimized SiNi2OsI structure.

abc: 4.563 5.261 4.563
angles: 90.00 90.00 90.00
Fractional coordinates of all 5 atoms:
Si (0.500, 0.500, 0.500)
Os (0.000, 0.000, 0.000)
Ni (0.000, 0.000, 0.500)
I (0.000, 0.500, 0.000)
Ni (0.500, 0.000, 0.000)

## Properties
**M_tot**: 0.0 μB/f.u.
**Uncorrected energy**: -4.439 eV/atom
**Crystal system**: tetragonal

---

| no. | Fermi-level density of states (states/eV per atom) |
| --- | --- |
| 1 | 0.0091 |
| 2 | 0.2774 |
| 3 | 1.2624 |